## i
Material: TaTlCdCo
Method: DFT, GGA-PBE
State: optimized geometry

Computed properties:
spin magnetization	1.15	μB per formula unit

Unit cell a=6.6010 b=6.6010 c=6.6010 alpha=90.00 beta=90.00 gamma=90.00
Closest atoms and distances in Å follow each position.
Positions (direct):
Ta1 0.0000 0.0000 0.0000  4 Cd 2.86, 4 Tl 2.86
Ta2 0.0000 0.5000 0.5000  4 Cd 2.86, 4 Tl 2.86
Ta3 0.5000 0.0000 0.5000  4 Cd 2.86, 4 Tl 2.86
Ta4 0.5000 0.5000 0.0000  4 Tl 2.86, 4 Cd 2.86
Tl1 0.2500 0.2500 0.2500  4 Ta 2.86, 4 Co 2.86
Tl2 0.2500 0.7500 0.7500  4 Ta 2.86, 4 Co 2.86
Tl3 0.7500 0.2500 0.7500  4 Ta 2.86, 4 Co 2.86
Tl4 0.7500 0.7500 0.2500  4 Ta 2.86, 4 Co 2.86
Cd1 0.2500 0.2500 0.7500  4 Ta 2.86, 4 Co 2.86
Cd2 0.2500 0.7500 0.2500  4 Ta 2.86, 4 Co 2.86
Cd3 0.7500 0.2500 0.2500  4 Ta 2.86, 4 Co 2.86
Cd4 0.7500 0.7500 0.7500  4 Co 2.86, 4 Ta 2.86
Co1 0.0000 0.0000 0.5000  4 Cd 2.86, 4 Tl 2.86
Co2 0.0000 0.5000 0.0000  4 Cd 2.86, 4 Tl 2.86
Co3 0.5000 0.0000 0.0000  4 Cd 2.86, 4 Tl 2.86
Co4 0.5000 0.5000 0.5000  4 Cd 2.86, 4 Tl 2.86

## ii
Material: TaTlCdCo
Method: DFT, GGA-PBE
State: optimized geometry

Computed properties:
spin magnetization	0.02	μB per formula unit

Unit cell a=6.5658 b=6.5658 c=6.5658 alpha=90.00 beta=90.00 gamma=90.00
Closest atoms and distances in Å follow each position.
Positions (direct):
Ta1 0.0000 0.0000 0.0000  4 Co 2.84, 4 Cd 2.84
Ta2 0.0000 0.5000 0.5000  4 Co 2.84, 4 Cd 2.84
Ta3 0.5000 0.0000 0.5000  4 Co 2.84, 4 Cd 2.84
Ta4 0.5000 0.5000 0.0000  4 Co 2.84, 4 Cd 2.84
Tl1 0.0000 0.0000 0.5000  4 Cd 2.84, 4 Co 2.84
Tl2 0.0000 0.5000 0.0000  4 Cd 2.84, 4 Co 2.84
Tl3 0.5000 0.0000 0.0000  4 Cd 2.84, 4 Co 2.84
Tl4 0.5000 0.5000 0.5000  4 Cd 2.84, 4 Co 2.84
Cd1 0.2500 0.2500 0.2500  4 Ta 2.84, 4 Tl 2.84
Cd2 0.2500 0.7500 0.7500  4 Ta 2.84, 4 Tl 2.84
Cd3 0.7500 0.2500 0.7500  4 Ta 2.84, 4 Tl 2.84
Cd4 0.7500 0.7500 0.2500  4 Ta 2.84, 4 Tl 2.84
Co1 0.2500 0.2500 0.7500  4 Tl 2.84, 4 Ta 2.84
Co2 0.2500 0.7500 0.2500  4 Tl 2.84, 4 Ta 2.84
Co3 0.7500 0.2500 0.2500  4 Tl 2.84, 4 Ta 2.84
Co4 0.7500 0.7500 0.7500  4 Tl 2.84, 4 Ta 2.84

If we sort the structures by their calculated energies, the order from most to least stable is ii, i.

## i
Material: YZnCdCo
Method: DFT, GGA-PBE
State: optimized geometry

Computed properties:
spin magnetization	1.31	μB per formula unit

Unit cell a=6.6930 b=6.6930 c=6.6930 alpha=90.00 beta=90.00 gamma=90.00
Closest atoms and distances in Å follow each position.
Positions (direct):
Y1 0.0000 0.0000 0.0000  4 Cd 2.90, 4 Zn 2.90
Y2 0.0000 0.5000 0.5000  4 Cd 2.90, 4 Zn 2.90
Y3 0.5000 0.0000 0.5000  4 Cd 2.90, 4 Zn 2.90
Y4 0.5000 0.5000 0.0000  4 Cd 2.90, 4 Zn 2.90
Zn1 0.2500 0.2500 0.2500  4 Co 2.90, 4 Y 2.90
Zn2 0.2500 0.7500 0.7500  4 Co 2.90, 4 Y 2.90
Zn3 0.7500 0.2500 0.7500  4 Co 2.90, 4 Y 2.90
Zn4 0.7500 0.7500 0.2500  4 Co 2.90, 4 Y 2.90
Cd1 0.2500 0.2500 0.7500  4 Co 2.90, 4 Y 2.90
Cd2 0.2500 0.7500 0.2500  4 Co 2.90, 4 Y 2.90
Cd3 0.7500 0.2500 0.2500  4 Co 2.90, 4 Y 2.90
Cd4 0.7500 0.7500 0.7500  4 Co 2.90, 4 Y 2.90
Co1 0.0000 0.0000 0.5000  4 Zn 2.90, 4 Cd 2.90
Co2 0.0000 0.5000 0.0000  4 Zn 2.90, 4 Cd 2.90
Co3 0.5000 0.0000 0.0000  4 Zn 2.90, 4 Cd 2.90
Co4 0.5000 0.5000 0.5000  4 Zn 2.90, 4 Cd 2.90

## ii
Material: YZnCdCo
Method: DFT, GGA-PBE
State: optimized geometry

Computed properties:
spin magnetization	1.15	μB per formula unit

Unit cell a=6.6770 b=6.6770 c=6.6770 alpha=90.00 beta=90.00 gamma=90.00
Closest atoms and distances in Å follow each position.
Positions (direct):
Y1 0.0000 0.0000 0.0000  4 Cd 2.89, 4 Co 2.89
Y2 0.0000 0.5000 0.5000  4 Co 2.89, 4 Cd 2.89
Y3 0.5000 0.0000 0.5000  4 Co 2.89, 4 Cd 2.89
Y4 0.5000 0.5000 0.0000  4 Cd 2.89, 4 Co 2.89
Zn1 0.0000 0.0000 0.5000  4 Cd 2.89, 4 Co 2.89
Zn2 0.0000 0.5000 0.0000  4 Cd 2.89, 4 Co 2.89
Zn3 0.5000 0.0000 0.0000  4 Cd 2.89, 4 Co 2.89
Zn4 0.5000 0.5000 0.5000  4 Cd 2.89, 4 Co 2.89
Cd1 0.2500 0.2500 0.2500  4 Zn 2.89, 4 Y 2.89
Cd2 0.2500 0.7500 0.7500  4 Zn 2.89, 4 Y 2.89
Cd3 0.7500 0.2500 0.7500  4 Zn 2.89, 4 Y 2.89
Cd4 0.7500 0.7500 0.2500  4 Zn 2.89, 4 Y 2.89
Co1 0.2500 0.2500 0.7500  4 Zn 2.89, 4 Y 2.89
Co2 0.2500 0.7500 0.2500  4 Zn 2.89, 4 Y 2.89
Co3 0.7500 0.2500 0.2500  4 Zn 2.89, 4 Y 2.89
Co4 0.7500 0.7500 0.7500  4 Zn 2.89, 4 Y 2.89

If we sort the structures by their calculated energies, the order from most to least stable is ii, i.

## i
Material: CsCdCu
Method: DFT, GGA-PBE
State: optimized geometry

Unit cell a=7.9769 b=7.9769 c=7.9769 alpha=90.00 beta=90.00 gamma=90.00
Closest atoms and distances in Å follow each position.
Positions (direct):
Cs1 0.0000 0.0000 0.0000  4 Cd 3.45
Cs2 0.0000 0.5000 0.5000  4 Cd 3.45
Cs3 0.5000 0.0000 0.5000  4 Cd 3.45
Cs4 0.5000 0.5000 0.0000  4 Cd 3.45
Cd1 0.2500 0.2500 0.2500  4 Cu 3.45, 4 Cs 3.45
Cd2 0.2500 0.7500 0.7500  4 Cu 3.45, 4 Cs 3.45
Cd3 0.7500 0.2500 0.7500  4 Cu 3.45, 4 Cs 3.45
Cd4 0.7500 0.7500 0.2500  4 Cu 3.45, 4 Cs 3.45
Cu1 0.0000 0.0000 0.5000  4 Cd 3.45
Cu2 0.0000 0.5000 0.0000  4 Cd 3.45
Cu3 0.5000 0.0000 0.0000  4 Cd 3.45
Cu4 0.5000 0.5000 0.5000  4 Cd 3.45

## ii
Material: CsCdCu
Method: DFT, GGA-PBE
State: optimized geometry

Unit cell a=7.6720 b=7.6720 c=7.6720 alpha=90.00 beta=90.00 gamma=90.00
Closest atoms and distances in Å follow each position.
Positions (direct):
Cs1 0.0000 0.0000 0.0000  4 Cu 3.32
Cs2 0.0000 0.5000 0.5000  4 Cu 3.32
Cs3 0.5000 0.0000 0.5000  4 Cu 3.32
Cs4 0.5000 0.5000 0.0000  4 Cu 3.32
Cd1 0.0000 0.0000 0.5000  4 Cu 3.32
Cd2 0.0000 0.5000 0.0000  4 Cu 3.32
Cd3 0.5000 0.0000 0.0000  4 Cu 3.32
Cd4 0.5000 0.5000 0.5000  4 Cu 3.32
Cu1 0.2500 0.2500 0.7500  4 Cd 3.32, 4 Cs 3.32
Cu2 0.2500 0.7500 0.2500  4 Cd 3.32, 4 Cs 3.32
Cu3 0.7500 0.2500 0.2500  4 Cd 3.32, 4 Cs 3.32
Cu4 0.7500 0.7500 0.7500  4 Cd 3.32, 4 Cs 3.32

If we sort the structures by their calculated energies, the order from most to least stable is ii, i.

## i
Material: CsCdGe
Method: DFT, GGA-PBE
State: optimized geometry

Unit cell a=8.2682 b=8.2682 c=8.2682 alpha=90.00 beta=90.00 gamma=90.00
Closest atoms and distances in Å follow each position.
Positions (direct):
Cs1 0.0000 0.0000 0.0000  4 Ge 3.58, 4 Cd 3.58
Cs2 0.0000 0.5000 0.5000  4 Ge 3.58, 4 Cd 3.58
Cs3 0.5000 0.0000 0.5000  4 Ge 3.58, 4 Cd 3.58
Cs4 0.5000 0.5000 0.0000  4 Ge 3.58, 4 Cd 3.58
Cd1 0.2500 0.2500 0.7500  4 Cs 3.58
Cd2 0.2500 0.7500 0.2500  4 Cs 3.58
Cd3 0.7500 0.2500 0.2500  4 Cs 3.58
Cd4 0.7500 0.7500 0.7500  4 Cs 3.58
Ge1 0.2500 0.2500 0.2500  4 Cs 3.58
Ge2 0.2500 0.7500 0.7500  4 Cs 3.58
Ge3 0.7500 0.2500 0.7500  4 Cs 3.58
Ge4 0.7500 0.7500 0.2500  4 Cs 3.58

## ii
Material: CsCdGe
Method: DFT, GGA-PBE
State: optimized geometry

Unit cell a=7.6925 b=7.6925 c=7.6925 alpha=90.00 beta=90.00 gamma=90.00
Closest atoms and distances in Å follow each position.
Positions (direct):
Cs1 0.0000 0.0000 0.0000  4 Ge 3.33
Cs2 0.0000 0.5000 0.5000  4 Ge 3.33
Cs3 0.5000 0.0000 0.5000  4 Ge 3.33
Cs4 0.5000 0.5000 0.0000  4 Ge 3.33
Cd1 0.0000 0.0000 0.5000  4 Ge 3.33
Cd2 0.0000 0.5000 0.0000  4 Ge 3.33
Cd3 0.5000 0.0000 0.0000  4 Ge 3.33
Cd4 0.5000 0.5000 0.5000  4 Ge 3.33
Ge1 0.2500 0.2500 0.7500  4 Cd 3.33, 4 Cs 3.33
Ge2 0.2500 0.7500 0.2500  4 Cd 3.33, 4 Cs 3.33
Ge3 0.7500 0.2500 0.2500  4 Cd 3.33, 4 Cs 3.33
Ge4 0.7500 0.7500 0.7500  4 Cd 3.33, 4 Cs 3.33

If we sort the structures by their calculated energies, the order from most to least stable is ii, i.

## i
Material: CsCdHg
Method: DFT, GGA-PBE
State: optimized geometry

Unit cell a=8.2955 b=8.2955 c=8.2955 alpha=90.00 beta=90.00 gamma=90.00
Closest atoms and distances in Å follow each position.
Positions (direct):
Cs1 0.0000 0.0000 0.0000  4 Hg 3.59
Cs2 0.0000 0.5000 0.5000  4 Hg 3.59
Cs3 0.5000 0.0000 0.5000  4 Hg 3.59
Cs4 0.5000 0.5000 0.0000  4 Hg 3.59
Cd1 0.0000 0.0000 0.5000  4 Hg 3.59
Cd2 0.0000 0.5000 0.0000  4 Hg 3.59
Cd3 0.5000 0.0000 0.0000  4 Hg 3.59
Cd4 0.5000 0.5000 0.5000  4 Hg 3.59
Hg1 0.2500 0.2500 0.7500  4 Cs 3.59, 4 Cd 3.59
Hg2 0.2500 0.7500 0.2500  4 Cs 3.59, 4 Cd 3.59
Hg3 0.7500 0.2500 0.2500  4 Cs 3.59, 4 Cd 3.59
Hg4 0.7500 0.7500 0.7500  4 Cs 3.59, 4 Cd 3.59

## ii
Material: CsCdHg
Method: DFT, GGA-PBE
State: optimized geometry

Unit cell a=8.3585 b=8.3585 c=8.3585 alpha=90.00 beta=90.00 gamma=90.00
Closest atoms and distances in Å follow each position.
Positions (direct):
Cs1 0.0000 0.0000 0.0000  4 Cd 3.62
Cs2 0.0000 0.5000 0.5000  4 Cd 3.62
Cs3 0.5000 0.0000 0.5000  4 Cd 3.62
Cs4 0.5000 0.5000 0.0000  4 Cd 3.62
Cd1 0.2500 0.2500 0.2500  4 Hg 3.62, 4 Cs 3.62
Cd2 0.2500 0.7500 0.7500  4 Hg 3.62, 4 Cs 3.62
Cd3 0.7500 0.2500 0.7500  4 Hg 3.62, 4 Cs 3.62
Cd4 0.7500 0.7500 0.2500  4 Hg 3.62, 4 Cs 3.62
Hg1 0.0000 0.0000 0.5000  4 Cd 3.62
Hg2 0.0000 0.5000 0.0000  4 Cd 3.62
Hg3 0.5000 0.0000 0.0000  4 Cd 3.62
Hg4 0.5000 0.5000 0.5000  4 Cd 3.62

If we sort the structures by their calculated energies, the order from most to least stable is i, ii.

## i
Material: Cs2CdI4
Method: DFT, GGA-PBE
State: optimized geometry

Unit cell a=8.0653 b=8.4729 c=11.2189 alpha=90.00 beta=110.06 gamma=90.00
Closest atoms and distances in Å follow each position.
Positions (direct):
Cs1 0.1962 0.0000 0.0341  7 I 3.84-4.23
Cs2 0.3026 0.0029 0.5913  8 I 3.97-4.35
Cs3 0.6974 0.5029 0.4087  8 I 3.97-4.35
Cs4 0.8038 0.5000 0.9659  7 I 3.84-4.23
Cd1 0.1887 0.5039 0.7770  4 I 2.80-2.85
Cd2 0.8113 0.0039 0.2230  4 I 2.80-2.85
I1 0.0380 0.7402 0.2847  1 Cd 2.82
I2 0.0409 0.2656 0.2870  1 Cd 2.82
I3 0.3556 0.5064 0.0455  1 Cd 2.85
I4 0.4261 0.5019 0.6447  1 Cd 2.80
I5 0.5739 0.0019 0.3553  1 Cd 2.80
I6 0.6444 0.0064 0.9545  1 Cd 2.85
I7 0.9591 0.7656 0.7130  1 Cd 2.82
I8 0.9620 0.2402 0.7153  1 Cd 2.82

## ii
Material: Cs2CdI4
Method: DFT, GGA-PBE
State: optimized geometry

Unit cell a=11.0995 b=8.5452 c=15.4646 alpha=90.00 beta=90.00 gamma=90.00
Closest atoms and distances in Å follow each position.
Positions (direct):
Cs1 0.0183 0.2500 0.1666  7 I 3.88-4.12
Cs2 0.1133 0.7500 0.4282  8 I 3.98-4.36, 1 Cd 4.35
Cs3 0.3867 0.2500 0.9282  8 I 3.98-4.36, 1 Cd 4.35
Cs4 0.4817 0.7500 0.6666  7 I 3.88-4.12
Cs5 0.5183 0.2500 0.3334  7 I 3.88-4.12
Cs6 0.6133 0.7500 0.0718  8 I 3.98-4.36, 1 Cd 4.35
Cs7 0.8867 0.2500 0.5718  8 I 3.98-4.36, 1 Cd 4.35
Cs8 0.9817 0.7500 0.8334  7 I 3.88-4.12
Cd1 0.2216 0.7500 0.0753  4 I 2.80-2.84
Cd2 0.2784 0.2500 0.5753  4 I 2.80-2.84
Cd3 0.7216 0.7500 0.4247  4 I 2.80-2.84
Cd4 0.7784 0.2500 0.9247  4 I 2.80-2.84
I1 0.0294 0.2500 0.9092  1 Cd 2.80
I2 0.1732 0.5144 0.6540  1 Cd 2.82
I3 0.1732 0.9856 0.6540  1 Cd 2.82
I4 0.1832 0.2500 0.4050  1 Cd 2.84
I5 0.3168 0.7500 0.9050  1 Cd 2.84
I6 0.3268 0.0144 0.1540  1 Cd 2.82
I7 0.3268 0.4856 0.1540  1 Cd 2.82
I8 0.4706 0.7500 0.4092  1 Cd 2.80
I9 0.5294 0.2500 0.5908  1 Cd 2.80
I10 0.6732 0.5144 0.8460  1 Cd 2.82
I11 0.6732 0.9856 0.8460  1 Cd 2.82
I12 0.6832 0.2500 0.0950  1 Cd 2.84
I13 0.8168 0.7500 0.5950  1 Cd 2.84
I14 0.8268 0.0144 0.3460  1 Cd 2.82
I15 0.8268 0.4856 0.3460  1 Cd 2.82
I16 0.9706 0.7500 0.0908  1 Cd 2.80

If we sort the structures by their calculated energies, the order from most to least stable is i, ii.

## i
Material: CsKCd
Method: DFT, GGA-PBE
State: optimized geometry

Unit cell a=9.0309 b=9.0309 c=9.0309 alpha=90.00 beta=90.00 gamma=90.00
Closest atoms and distances in Å follow each position.
Positions (direct):
Cs1 0.0000 0.0000 0.0000  4 Cd 3.91
Cs2 0.0000 0.5000 0.5000  4 Cd 3.91
Cs3 0.5000 0.0000 0.5000  4 Cd 3.91
Cs4 0.5000 0.5000 0.0000  4 Cd 3.91
K1 0.0000 0.0000 0.5000  4 Cd 3.91
K2 0.0000 0.5000 0.0000  4 Cd 3.91
K3 0.5000 0.0000 0.0000  4 Cd 3.91
K4 0.5000 0.5000 0.5000  4 Cd 3.91
Cd1 0.2500 0.2500 0.2500  4 K 3.91, 4 Cs 3.91
Cd2 0.2500 0.7500 0.7500  4 K 3.91, 4 Cs 3.91
Cd3 0.7500 0.2500 0.7500  4 K 3.91, 4 Cs 3.91
Cd4 0.7500 0.7500 0.2500  4 K 3.91, 4 Cs 3.91

## ii
Material: CsKCd
Method: DFT, GGA-PBE
State: optimized geometry

Unit cell a=9.1665 b=9.1665 c=9.1665 alpha=90.00 beta=90.00 gamma=90.00
Closest atoms and distances in Å follow each position.
Positions (direct):
Cs1 0.0000 0.0000 0.0000  4 Cd 3.97, 4 K 3.97
Cs2 0.0000 0.5000 0.5000  4 Cd 3.97, 4 K 3.97
Cs3 0.5000 0.0000 0.5000  4 Cd 3.97, 4 K 3.97
Cs4 0.5000 0.5000 0.0000  4 Cd 3.97, 4 K 3.97
K1 0.2500 0.2500 0.2500  4 Cs 3.97
K2 0.2500 0.7500 0.7500  4 Cs 3.97
K3 0.7500 0.2500 0.7500  4 Cs 3.97
K4 0.7500 0.7500 0.2500  4 Cs 3.97
Cd1 0.2500 0.2500 0.7500  4 Cs 3.97
Cd2 0.2500 0.7500 0.2500  4 Cs 3.97
Cd3 0.7500 0.2500 0.2500  4 Cs 3.97
Cd4 0.7500 0.7500 0.7500  4 Cs 3.97

If we sort the structures by their calculated energies, the order from most to least stable is i, ii.

## i
Material: Cs2Cd3O4
Method: DFT, GGA-PBE
State: optimized geometry

Unit cell a=12.9037 b=9.4442 c=5.9528 alpha=90.00 beta=90.00 gamma=90.00
Closest atoms and distances in Å follow each position.
Positions (direct):
Cs1 0.0000 0.0000 0.0000  6 O 3.03-3.19
Cs2 0.0000 0.5000 0.0000  6 O 3.03-3.19
Cs3 0.0295 0.2500 0.4834  7 O 3.11-3.43
Cs4 0.4705 0.7500 0.9834  7 O 3.11-3.43
Cs5 0.5000 0.0000 0.5000  6 O 3.03-3.19
Cs6 0.5000 0.5000 0.5000  6 O 3.03-3.19
Cs7 0.5295 0.2500 0.0166  7 O 3.11-3.43
Cs8 0.9705 0.7500 0.5166  7 O 3.11-3.43
Cd1 0.2138 0.7500 0.2325  4 O 2.15-2.35
Cd2 0.2466 0.5870 0.6871  4 O 2.19-2.33
Cd3 0.2466 0.9130 0.6871  4 O 2.19-2.33
Cd4 0.2534 0.0870 0.1871  4 O 2.19-2.33
Cd5 0.2534 0.4130 0.1871  4 O 2.19-2.33
Cd6 0.2862 0.2500 0.7325  4 O 2.15-2.35
Cd7 0.7138 0.7500 0.2675  4 O 2.15-2.35
Cd8 0.7466 0.5870 0.8129  4 O 2.19-2.33
Cd9 0.7466 0.9130 0.8129  4 O 2.19-2.33
Cd10 0.7534 0.0870 0.3129  4 O 2.19-2.33
Cd11 0.7534 0.4130 0.3129  4 O 2.19-2.33
Cd12 0.7862 0.2500 0.7675  4 O 2.15-2.35
O1 0.1477 0.5412 0.3912  3 Cd 2.19-2.35
O2 0.1477 0.9588 0.3912  3 Cd 2.19-2.35
O3 0.1580 0.2500 0.9790  3 Cd 2.21-2.33
O4 0.1586 0.7500 0.8915  3 Cd 2.15-2.27
O5 0.3414 0.2500 0.3915  3 Cd 2.15-2.27
O6 0.3420 0.7500 0.4790  3 Cd 2.21-2.33
O7 0.3523 0.0412 0.8912  3 Cd 2.19-2.35
O8 0.3523 0.4588 0.8912  3 Cd 2.19-2.35
O9 0.6477 0.5412 0.1088  3 Cd 2.19-2.35
O10 0.6477 0.9588 0.1088  3 Cd 2.19-2.35
O11 0.6580 0.2500 0.5210  3 Cd 2.21-2.33
O12 0.6586 0.7500 0.6085  3 Cd 2.15-2.27
O13 0.8414 0.2500 0.1085  3 Cd 2.15-2.27
O14 0.8420 0.7500 0.0210  3 Cd 2.21-2.33
O15 0.8523 0.0412 0.6088  3 Cd 2.19-2.35
O16 0.8523 0.4588 0.6088  3 Cd 2.19-2.35

## ii
Material: Cs2Cd3O4
Method: DFT, GGA-PBE
State: optimized geometry

Unit cell a=3.2909 b=3.2909 c=17.1307 alpha=90.00 beta=90.00 gamma=90.00
Closest atoms and distances in Å follow each position.
Positions (direct):
Cs1 0.0000 0.0000 0.0000  4 O 2.69
Cs2 0.5000 0.5000 0.4445  1 O 2.45
Cd1 0.5000 0.5000 0.1852  1 O 1.99
Cd2 0.5000 0.5000 0.6280  4 O 2.48
Cd3 0.5000 0.5000 0.7978  1 O 2.11
O1 0.0000 0.0000 0.5778  4 Cd 2.48
O2 0.0000 0.0000 0.7587  4 Cd 2.42
O3 0.5000 0.5000 0.3015  1 Cd 1.99
O4 0.5000 0.5000 0.9210  1 Cd 2.11

If we sort the structures by their calculated energies, the order from most to least stable is i, ii.